Record 1
Entry from the Alexandria database: Pm2NpMnN5 after structural relaxation (PBE-GGA).

Cell and atoms, written as POSCAR:
```
Pm2NpMnN5
1.0
-2.926 0.995 1.579
-2.149 -3.440 -5.628
-0.076 -8.859 5.444
Mn N Pm Np
2 10 4 2
Direct
0.478 0.956 0.454 Mn
0.522 0.044 0.954 Mn
0.037 0.073 0.024 N
0.634 0.268 0.501 N
0.678 0.355 0.891 N
0.322 0.645 0.391 N
0.366 0.732 0.001 N
0.490 0.981 0.785 N
0.286 0.571 0.651 N
0.714 0.429 0.151 N
0.510 0.019 0.285 N
0.963 0.927 0.524 N
0.896 0.792 0.184 Pm
0.864 0.728 0.817 Pm
0.136 0.272 0.317 Pm
0.104 0.208 0.684 Pm
0.203 0.406 0.016 Np
0.797 0.594 0.516 Np
```

## Properties
M_tot (μB per formula unit): 3.62
Formation energy without anion corrections (kJ per mole of atoms): -97.9
Space-group type: Cmc2_1, No. 36
N(E_F) (states/eV/atom): 0.78
V (Å³/f.u.): 121.18

Record 2
Entry from the Alexandria database: PrNpMnN3 after structural relaxation (PBE-GGA).

Cell and atoms, written as POSCAR:
```
PrNpMnN3
1.0
3.362 0.000 0.000
0.000 7.270 0.608
0.000 -2.172 7.001
Mn Np N Pr
2 2 6 2
Direct
0.750 0.912 0.419 Mn
0.250 0.088 0.581 Mn
0.250 0.659 0.176 Np
0.750 0.341 0.824 Np
0.750 0.180 0.479 N
0.250 0.125 0.852 N
0.250 0.820 0.521 N
0.250 0.564 0.865 N
0.750 0.875 0.148 N
0.750 0.436 0.135 N
0.750 0.822 0.794 Pr
0.250 0.178 0.206 Pr
```

## Properties
M_tot (μB per formula unit): 1.91
Formation energy without anion corrections (kJ per mole of atoms): -86.7
Space-group type: P2_1/m, No. 11
N(E_F) (states/eV/atom): 1.03
V (Å³/f.u.): 87.77

Record 3
Entry from the Alexandria database: PuNp2MnN5 after structural relaxation (PBE-GGA).

Cell and atoms, written as POSCAR:
```
PuNp2MnN5
1.0
5.557 0.000 0.000
0.000 6.370 0.000
0.000 0.000 6.370
Np Pu N Mn
4 2 10 2
Direct
0.500 0.331 0.831 Np
0.500 0.831 0.669 Np
0.500 0.169 0.331 Np
0.500 0.669 0.169 Np
0.000 0.000 0.000 Pu
0.000 0.500 0.500 Pu
0.238 0.651 0.849 N
0.238 0.349 0.151 N
0.238 0.849 0.349 N
0.500 0.000 0.000 N
0.762 0.151 0.651 N
0.500 0.500 0.500 N
0.762 0.651 0.849 N
0.762 0.849 0.349 N
0.238 0.151 0.651 N
0.762 0.349 0.151 N
0.000 0.000 0.500 Mn
0.000 0.500 0.000 Mn
```

## Properties
M_tot (μB per formula unit): 1.82
Formation energy without anion corrections (kJ per mole of atoms): -83.4
Space-group type: P4/mbm, No. 127
N(E_F) (states/eV/atom): 1.76
V (Å³/f.u.): 112.74

Record 4
Entry from the Alexandria database: Pu2NpMnN4 after structural relaxation (PBE-GGA).

Cell and atoms, written as POSCAR:
```
Pu2NpMnN4
1.0
-0.344 -3.277 -0.127
4.075 1.072 4.107
-8.205 0.553 7.997
N Np Pu Mn
8 2 4 2
Direct
0.000 0.000 0.500 N
0.722 0.444 0.874 N
0.547 0.095 0.250 N
0.000 0.000 0.000 N
0.722 0.444 0.626 N
0.453 0.905 0.750 N
0.278 0.556 0.126 N
0.278 0.556 0.374 N
0.891 0.783 0.250 Np
0.109 0.217 0.750 Np
0.632 0.263 0.055 Pu
0.368 0.737 0.555 Pu
0.632 0.263 0.445 Pu
0.368 0.737 0.945 Pu
0.846 0.692 0.750 Mn
0.154 0.308 0.250 Mn
```

## Properties
M_tot (μB per formula unit): 8.94
Formation energy without anion corrections (kJ per mole of atoms): -92.2
Space-group type: Cmcm, No. 63
N(E_F) (states/eV/atom): 1.97
V (Å³/f.u.): 106.80

Record 5
Entry from the Alexandria database: NpMn2SiN after structural relaxation (PBE-GGA).

Cell and atoms, written as POSCAR:
```
NpMn2SiN
1.0
3.520 0.000 0.000
-1.760 5.397 0.000
0.000 0.000 6.987
Mn Si Np N
4 2 2 2
Direct
0.831 0.662 0.445 Mn
0.831 0.662 0.055 Mn
0.169 0.338 0.555 Mn
0.169 0.338 0.945 Mn
0.736 0.472 0.750 Si
0.264 0.528 0.250 Si
0.460 0.919 0.750 Np
0.540 0.081 0.250 Np
0.000 0.000 0.500 N
0.000 0.000 0.000 N
```

## Properties
M_tot (μB per formula unit): 6.01
Formation energy without anion corrections (kJ per mole of atoms): -55.1
Space-group type: Cmcm, No. 63
N(E_F) (states/eV/atom): 1.74
V (Å³/f.u.): 66.37

Record 6
Entry from the Alexandria database: Sm2NpMnN5 after structural relaxation (PBE-GGA).

Cell and atoms, written as POSCAR:
```
Sm2NpMnN5
1.0
-2.537 0.685 -2.246
-1.322 -6.432 2.193
-5.775 3.807 7.684
N Mn Np Sm
10 2 2 4
Direct
0.715 0.429 0.152 N
0.285 0.571 0.652 N
0.322 0.644 0.390 N
0.633 0.266 0.501 N
0.509 0.019 0.284 N
0.963 0.926 0.526 N
0.367 0.734 0.001 N
0.491 0.981 0.784 N
0.037 0.074 0.026 N
0.678 0.356 0.890 N
0.478 0.957 0.455 Mn
0.522 0.044 0.955 Mn
0.203 0.407 0.016 Np
0.797 0.593 0.516 Np
0.104 0.208 0.684 Sm
0.135 0.271 0.316 Sm
0.896 0.793 0.184 Sm
0.865 0.729 0.816 Sm
```

## Properties
M_tot (μB per formula unit): 3.54
Formation energy without anion corrections (kJ per mole of atoms): -98.9
Space-group type: Cmc2_1, No. 36
N(E_F) (states/eV/atom): 0.78
V (Å³/f.u.): 119.78